1.
Density functional theory data (GGA-PBEsol) for a geometry-optimized TiTcHCl2 structure.

Geometry as CIF:
```
data_TiTcHCl2
_cell_length_a 4.582
_cell_length_b 4.582
_cell_length_c 4.721
_cell_angle_alpha 90.00
_cell_angle_beta 90.00
_cell_angle_gamma 90.00
_symmetry_space_group_name_H-M 'P 4/m m m'
_symmetry_Int_Tables_number 123
_symmetry_space_group_name_Hall '-P 4 2'
loop_
_atom_site_label
_atom_site_fract_x
_atom_site_fract_y
_atom_site_fract_z
Ti1 0.000 0.000 0.000
Tc1 0.000 0.000 0.500
H1 0.500 0.500 0.000
Cl1 0.000 0.500 0.500
```

Output
**DOS at the Fermi energy**: 0.90 states/eV per atom
**Final energy**: -23.96 eV for the cell shown



2.
Density functional theory data (GGA-PBEsol) for a geometry-optimized TeHCl3 structure.

Geometry as CIF:
```
data_TeHCl3
_cell_length_a 5.225
_cell_length_b 5.225
_cell_length_c 5.225
_cell_angle_alpha 90.00
_cell_angle_beta 90.00
_cell_angle_gamma 90.00
_symmetry_space_group_name_H-M 'P m -3 m'
_symmetry_Int_Tables_number 221
_symmetry_space_group_name_Hall '-P 4 2 3'
loop_
_atom_site_label
_atom_site_fract_x
_atom_site_fract_y
_atom_site_fract_z
Te1 0.000 0.000 0.000
H1 0.500 0.500 0.500
Cl1 0.000 0.000 0.500
```

Output
**DOS at the Fermi energy**: 0.37 states/eV per atom
**Final energy**: -12.25 eV for the cell shown



3.
Density functional theory data (GGA-PBEsol) for a geometry-optimized TiH3Cl structure.

Geometry as CIF:
```
data_TiH3Cl
_cell_length_a 3.546
_cell_length_b 3.546
_cell_length_c 3.546
_cell_angle_alpha 90.00
_cell_angle_beta 90.00
_cell_angle_gamma 90.00
_symmetry_space_group_name_H-M 'P m -3 m'
_symmetry_Int_Tables_number 221
_symmetry_space_group_name_Hall '-P 4 2 3'
loop_
_atom_site_label
_atom_site_fract_x
_atom_site_fract_y
_atom_site_fract_z
Ti1 0.000 0.000 0.000
H1 0.000 0.500 0.500
Cl1 0.500 0.500 0.500
```

Output
**DOS at the Fermi energy**: 0.64 states/eV per atom
**Final energy**: -14.59 eV for the cell shown



4.
Density functional theory data (GGA-PBEsol) for a geometry-optimized H3WCl structure.

Geometry as CIF:
```
data_H3WCl
_cell_length_a 3.627
_cell_length_b 3.627
_cell_length_c 3.627
_cell_angle_alpha 90.00
_cell_angle_beta 90.00
_cell_angle_gamma 90.00
_symmetry_space_group_name_H-M 'P m -3 m'
_symmetry_Int_Tables_number 221
_symmetry_space_group_name_Hall '-P 4 2 3'
loop_
_atom_site_label
_atom_site_fract_x
_atom_site_fract_y
_atom_site_fract_z
H1 0.000 0.000 0.500
W1 0.000 0.000 0.000
Cl1 0.500 0.500 0.500
```

Output
**DOS at the Fermi energy**: 0.56 states/eV per atom
**Final energy**: -22.07 eV for the cell shown



5.
Density functional theory data (GGA-PBEsol) for a geometry-optimized Zn3HCl structure.

Geometry as CIF:
```
data_Zn3HCl
_cell_length_a 5.103
_cell_length_b 5.103
_cell_length_c 5.103
_cell_angle_alpha 90.00
_cell_angle_beta 90.00
_cell_angle_gamma 90.00
_symmetry_space_group_name_H-M 'P m -3 m'
_symmetry_Int_Tables_number 221
_symmetry_space_group_name_Hall '-P 4 2 3'
loop_
_atom_site_label
_atom_site_fract_x
_atom_site_fract_y
_atom_site_fract_z
Zn1 0.000 0.000 0.500
H1 0.500 0.500 0.500
Cl1 0.000 0.000 0.000
```

Output
**DOS at the Fermi energy**: 0.54 states/eV per atom
**Final energy**: -4.55 eV for the cell shown



6.
Density functional theory data (GGA-PBEsol) for a geometry-optimized ZrH3Cl structure.

Geometry as CIF:
```
data_ZrH3Cl
_cell_length_a 3.639
_cell_length_b 3.639
_cell_length_c 3.639
_cell_angle_alpha 90.00
_cell_angle_beta 90.00
_cell_angle_gamma 90.00
_symmetry_space_group_name_H-M 'P m -3 m'
_symmetry_Int_Tables_number 221
_symmetry_space_group_name_Hall '-P 4 2 3'
loop_
_atom_site_label
_atom_site_fract_x
_atom_site_fract_y
_atom_site_fract_z
Zr1 0.000 0.000 0.000
H1 0.000 0.500 0.500
Cl1 0.500 0.500 0.500
```

Output
**DOS at the Fermi energy**: 0.74 states/eV per atom
**Final energy**: -16.16 eV for the cell shown



7.
Density functional theory data (GGA-PBEsol) for a geometry-optimized Hf3HgCl structure.

Geometry as CIF:
```
data_Hf3HgCl
_cell_length_a 5.202
_cell_length_b 5.202
_cell_length_c 5.202
_cell_angle_alpha 90.00
_cell_angle_beta 90.00
_cell_angle_gamma 90.00
_symmetry_space_group_name_H-M 'P m -3 m'
_symmetry_Int_Tables_number 221
_symmetry_space_group_name_Hall '-P 4 2 3'
loop_
_atom_site_label
_atom_site_fract_x
_atom_site_fract_y
_atom_site_fract_z
Hf1 0.000 0.000 0.500
Hg1 0.000 0.000 0.000
Cl1 0.500 0.500 0.500
```

Output
**DOS at the Fermi energy**: 1.48 states/eV per atom
**Raw formation energy**: 1.213 eV per atom
**Final energy**: -28.02 eV for the cell shown



8.
Density functional theory data (GGA-PBEsol) for a geometry-optimized HfHgCl2 structure.

Geometry as CIF:
```
data_HfHgCl2
_cell_length_a 3.2040
_cell_length_b 3.2040
_cell_length_c 31.5181
_cell_angle_alpha 90.00
_cell_angle_beta 90.00
_cell_angle_gamma 120.00
_symmetry_space_group_name_H-M 'R -3 m'
_symmetry_Int_Tables_number 166
_symmetry_space_group_name_Hall '-R 3 2"'
loop_
_atom_site_label
_atom_site_fract_x
_atom_site_fract_y
_atom_site_fract_z
Hf1 0.0000 0.0000 0.0000
Hg1 0.0000 0.0000 0.5000
Cl1 0.0000 0.0000 0.3902
```

Output
**DOS at the Fermi energy**: 0.28 states/eV per atom
**Raw formation energy**: -1.060 eV per atom
**Final energy**: -57.97 eV for the cell shown



9.
Density functional theory data (GGA-PBEsol) for a geometry-optimized HfTaHgCl2 structure.

Geometry as CIF:
```
data_HfTaHgCl2
_cell_length_a 4.745
_cell_length_b 4.745
_cell_length_c 5.538
_cell_angle_alpha 90.00
_cell_angle_beta 90.00
_cell_angle_gamma 90.00
_symmetry_space_group_name_H-M 'P 4/m m m'
_symmetry_Int_Tables_number 123
_symmetry_space_group_name_Hall '-P 4 2'
loop_
_atom_site_label
_atom_site_fract_x
_atom_site_fract_y
_atom_site_fract_z
Hf1 0.000 0.000 0.000
Ta1 0.000 0.000 0.500
Hg1 0.500 0.500 0.500
Cl1 0.000 0.500 0.000
```

Output
**DOS at the Fermi energy**: 0.89 states/eV per atom
**Raw formation energy**: 0.326 eV per atom
**Final energy**: -26.01 eV for the cell shown



10.
Density functional theory data (GGA-PBEsol) for a geometry-optimized HfHg2WCl structure.

Geometry as CIF:
```
data_HfHg2WCl
_cell_length_a 5.281
_cell_length_b 5.281
_cell_length_c 4.312
_cell_angle_alpha 90.00
_cell_angle_beta 90.00
_cell_angle_gamma 90.00
_symmetry_space_group_name_H-M 'P 4/m m m'
_symmetry_Int_Tables_number 123
_symmetry_space_group_name_Hall '-P 4 2'
loop_
_atom_site_label
_atom_site_fract_x
_atom_site_fract_y
_atom_site_fract_z
Hf1 0.000 0.000 0.000
Hg1 0.000 0.500 0.500
W1 0.500 0.500 0.500
Cl1 0.500 0.500 0.000
```

Output
**DOS at the Fermi energy**: 0.85 states/eV per atom
**Raw formation energy**: 1.053 eV per atom
**Final energy**: -22.19 eV for the cell shown



11.
Density functional theory data (GGA-PBEsol) for a geometry-optimized Hf2ICl structure.

Geometry as CIF:
```
data_Hf2ICl
_cell_length_a 6.808
_cell_length_b 6.808
_cell_length_c 6.808
_cell_angle_alpha 90.00
_cell_angle_beta 90.00
_cell_angle_gamma 90.00
_symmetry_space_group_name_H-M 'F m -3 m'
_symmetry_Int_Tables_number 225
_symmetry_space_group_name_Hall '-F 4 2 3'
loop_
_atom_site_label
_atom_site_fract_x
_atom_site_fract_y
_atom_site_fract_z
Hf1 0.250 0.250 0.250
I1 0.000 0.000 0.000
Cl1 0.000 0.000 0.500
```

Output
**DOS at the Fermi energy**: 1.55 states/eV per atom
**Raw formation energy**: 0.076 eV per atom
**Final energy**: -97.91 eV for the cell shown



12.
Density functional theory data (GGA-PBEsol) for a geometry-optimized K2HfICl structure.

Geometry as CIF:
```
data_K2HfICl
_cell_length_a 5.468
_cell_length_b 5.468
_cell_length_c 7.107
_cell_angle_alpha 90.00
_cell_angle_beta 90.00
_cell_angle_gamma 90.00
_symmetry_space_group_name_H-M 'P 4/m m m'
_symmetry_Int_Tables_number 123
_symmetry_space_group_name_Hall '-P 4 2'
loop_
_atom_site_label
_atom_site_fract_x
_atom_site_fract_y
_atom_site_fract_z
K1 0.000 0.500 0.000
Hf1 0.000 0.000 0.500
I1 0.500 0.500 0.500
Cl1 0.500 0.500 0.000
```

Output
**DOS at the Fermi energy**: 1.57 states/eV per atom
**Raw formation energy**: 0.182 eV per atom
**Final energy**: -15.63 eV for the cell shown



13.
Density functional theory data (GGA-PBEsol) for a geometry-optimized HfIN2Cl structure.

Geometry as CIF:
```
data_HfIN2Cl
_cell_length_a 4.086
_cell_length_b 4.086
_cell_length_c 6.102
_cell_angle_alpha 90.00
_cell_angle_beta 90.00
_cell_angle_gamma 90.00
_symmetry_space_group_name_H-M 'P 4/m m m'
_symmetry_Int_Tables_number 123
_symmetry_space_group_name_Hall '-P 4 2'
loop_
_atom_site_label
_atom_site_fract_x
_atom_site_fract_y
_atom_site_fract_z
Hf1 0.000 0.000 0.000
I1 0.000 0.000 0.500
N1 0.000 0.500 0.000
Cl1 0.500 0.500 0.500
```

Output
**DOS at the Fermi energy**: 0.75 states/eV per atom
**Raw formation energy**: 0.351 eV per atom
**Final energy**: -29.58 eV for the cell shown



14.
Density functional theory data (GGA-PBEsol) for a geometry-optimized Hf2PdICl structure.

Geometry as CIF:
```
data_Hf2PdICl
_cell_length_a 5.233
_cell_length_b 5.233
_cell_length_c 4.825
_cell_angle_alpha 90.00
_cell_angle_beta 90.00
_cell_angle_gamma 90.00
_symmetry_space_group_name_H-M 'P 4/m m m'
_symmetry_Int_Tables_number 123
_symmetry_space_group_name_Hall '-P 4 2'
loop_
_atom_site_label
_atom_site_fract_x
_atom_site_fract_y
_atom_site_fract_z
Hf1 0.000 0.500 0.000
Pd1 0.000 0.000 0.500
I1 0.000 0.000 0.000
Cl1 0.500 0.500 0.500
```

Output
**DOS at the Fermi energy**: 1.13 states/eV per atom
**Raw formation energy**: 1.095 eV per atom
**Final energy**: -25.26 eV for the cell shown